{"formula": "CaGaWBr2", "functional": "meta-GGA SCAN", "state": "single point on PBEsol structure", "lattice_angstrom": [[5.025, 0.000, 0.000], [0.000, 5.025, 0.000], [0.000, 0.000, 5.034]], "species": ["Ca", "Ga", "W", "Br", "Br"], "frac_coords": [[0.000, 0.000, 0.000], [0.500, 0.500, 0.000], [0.500, 0.500, 0.500], [0.000, 0.500, 0.500], [0.500, 0.000, 0.500]], "space_group": "P4/mmm", "density_g_cm3": 5.92, "formation_energy_uncorrected_mev_per_atom": 228.7}